Entry 1:
This record from Alexandria describes a relaxed structure of Ac4Ge2TeSe. The functional is GGA-PBE. Values from VASP.

```
&SYSTEM
  ibrav = 0, nat = 8, ntyp = 4
/
ATOMIC_SPECIES
Ge 72.64 Ge.upf
Ac 227.00 Ac.upf
Se 78.96 Se.upf
Te 127.60 Te.upf
ATOMIC_POSITIONS crystal
Ge 0.500 0.000 0.500
Ge 0.000 0.500 0.500
Ac 0.500 0.737 0.729
Ac 0.500 0.263 0.271
Ac 0.000 0.750 0.267
Ac 0.000 0.250 0.733
Se 0.500 0.500 0.000
Te 0.000 0.000 0.000
CELL_PARAMETERS angstrom
4.619 0.000 0.000
0.000 8.023 0.143
0.000 -2.796 7.565
```

## Properties
V: 35.28 Å³/atom
Energy relative to the elements, uncorrected: -1.272 eV/atom
Raw total energy: -42.469 eV/cell
D(E_F): 2.41 states/eV per cell

---

Entry 2:
This record from Alexandria describes a relaxed structure of Ac6Ge2Te3Se. The functional is GGA-PBE. Values from VASP.

```
&SYSTEM
  ibrav = 0, nat = 12, ntyp = 4
/
ATOMIC_SPECIES
Ac 227.00 Ac.upf
Se 78.96 Se.upf
Te 127.60 Te.upf
Ge 72.64 Ge.upf
ATOMIC_POSITIONS crystal
Ac 0.008 0.243 0.016
Ac 0.327 0.432 0.655
Ac 0.673 0.568 0.345
Ac 0.664 0.101 0.329
Ac 0.336 0.899 0.671
Ac 0.992 0.757 0.984
Se 0.500 0.000 0.000
Te 0.836 0.167 0.671
Te 0.164 0.833 0.329
Te 0.500 0.500 0.000
Ge 0.165 0.329 0.330
Ge 0.835 0.671 0.670
CELL_PARAMETERS angstrom
4.639 0.000 0.000
0.000 9.392 0.230
-2.320 -2.816 9.839
```

## Properties
V: 35.98 Å³/atom
Energy relative to the elements, uncorrected: -1.398 eV/atom
Raw total energy: -63.577 eV/cell
D(E_F): 4.52 states/eV per cell

---

Entry 3:
This record from Alexandria describes a relaxed structure of Ac8GeTe4Se3. The functional is GGA-PBE. Values from VASP.

```
&SYSTEM
  ibrav = 0, nat = 16, ntyp = 4
/
ATOMIC_SPECIES
Ac 227.00 Ac.upf
Se 78.96 Se.upf
Ge 72.64 Ge.upf
Te 127.60 Te.upf
ATOMIC_POSITIONS crystal
Ac 0.254 0.276 0.015
Ac 0.761 0.276 0.522
Ac 0.239 0.724 0.478
Ac 0.258 0.275 0.517
Ac 0.239 0.724 0.985
Ac 0.761 0.276 0.015
Ac 0.746 0.724 0.985
Ac 0.742 0.725 0.483
Se 0.500 0.500 0.000
Se 0.000 0.500 0.500
Se 0.500 0.500 0.500
Ge 0.000 0.500 0.000
Te 0.500 0.000 0.500
Te 0.500 0.000 0.000
Te 0.000 0.000 0.000
Te 0.000 0.000 0.500
CELL_PARAMETERS angstrom
-7.981 -1.544 -4.232
3.997 -6.761 -5.070
0.482 -0.361 9.145
```

## Properties
V: 35.04 Å³/atom
Energy relative to the elements, uncorrected: -1.587 eV/atom
Raw total energy: -85.905 eV/cell
D(E_F): 8.55 states/eV per cell

---

Entry 4:
This record from Alexandria describes a relaxed structure of Ac6Ge2TeSe3. The functional is GGA-PBE. Values from VASP.

```
&SYSTEM
  ibrav = 0, nat = 12, ntyp = 4
/
ATOMIC_SPECIES
Ac 227.00 Ac.upf
Se 78.96 Se.upf
Ge 72.64 Ge.upf
Te 127.60 Te.upf
ATOMIC_POSITIONS crystal
Ac 0.005 0.266 0.010
Ac 0.995 0.734 0.990
Ac 0.670 0.577 0.339
Ac 0.328 0.902 0.656
Ac 0.672 0.098 0.344
Ac 0.330 0.423 0.661
Se 0.163 0.835 0.327
Se 0.837 0.165 0.673
Se 0.500 0.500 0.000
Ge 0.166 0.331 0.332
Ge 0.834 0.669 0.668
Te 0.500 0.000 0.000
CELL_PARAMETERS angstrom
-3.352 -1.555 2.721
2.031 -8.605 -2.414
7.480 2.177 6.589
```

## Properties
V: 34.04 Å³/atom
Energy relative to the elements, uncorrected: -1.498 eV/atom
Raw total energy: -65.461 eV/cell
D(E_F): 4.08 states/eV per cell

---

Entry 5:
This record from Alexandria describes a relaxed structure of Ac6GeTe2Se3. The functional is GGA-PBE. Values from VASP.

```
&SYSTEM
  ibrav = 0, nat = 12, ntyp = 4
/
ATOMIC_SPECIES
Ac 227.00 Ac.upf
Ge 72.64 Ge.upf
Se 78.96 Se.upf
Te 127.60 Te.upf
ATOMIC_POSITIONS crystal
Ac 0.773 0.773 0.260
Ac 0.086 0.400 0.259
Ac 0.400 0.086 0.259
Ac 0.600 0.914 0.741
Ac 0.227 0.227 0.740
Ac 0.914 0.600 0.741
Ge 0.000 0.000 0.000
Se 0.828 0.172 0.500
Se 0.500 0.500 0.500
Se 0.172 0.828 0.500
Te 0.666 0.334 0.000
Te 0.334 0.666 0.000
CELL_PARAMETERS angstrom
-1.140 7.105 -3.468
-5.927 -3.429 4.112
4.680 2.173 5.975
```

## Properties
V: 34.24 Å³/atom
Energy relative to the elements, uncorrected: -1.602 eV/atom
Raw total energy: -65.225 eV/cell
D(E_F): 6.20 states/eV per cell

---

Entry 6:
This record from Alexandria describes a relaxed structure of Ac8Ge3Te4Se. The functional is GGA-PBE. Values from VASP.

```
&SYSTEM
  ibrav = 0, nat = 16, ntyp = 4
/
ATOMIC_SPECIES
Ac 227.00 Ac.upf
Se 78.96 Se.upf
Te 127.60 Te.upf
Ge 72.64 Ge.upf
ATOMIC_POSITIONS crystal
Ac 0.755 0.274 0.020
Ac 0.735 0.726 0.980
Ac 0.258 0.275 0.516
Ac 0.742 0.725 0.484
Ac 0.245 0.726 0.980
Ac 0.755 0.274 0.509
Ac 0.265 0.274 0.020
Ac 0.245 0.726 0.491
Se 0.000 0.500 0.000
Te 0.500 0.000 0.000
Te 0.500 0.000 0.500
Te 0.000 0.000 0.500
Te 0.000 0.000 0.000
Ge 0.000 0.500 0.500
Ge 0.500 0.500 0.500
Ge 0.500 0.500 0.000
CELL_PARAMETERS angstrom
-6.609 3.065 -5.761
-6.471 -4.799 4.870
5.492 6.056 4.408
```

## Properties
V: 36.13 Å³/atom
Energy relative to the elements, uncorrected: -1.363 eV/atom
Raw total energy: -84.572 eV/cell
D(E_F): 4.23 states/eV per cell

---

Entry 7:
This record from Alexandria describes a relaxed structure of Ac3Tl3GeSe8. The functional is GGA-PBE. Values from VASP.

```
&SYSTEM
  ibrav = 0, nat = 15, ntyp = 4
/
ATOMIC_SPECIES
Ge 72.64 Ge.upf
Ac 227.00 Ac.upf
Se 78.96 Se.upf
Tl 204.38 Tl.upf
ATOMIC_POSITIONS crystal
Ge 0.000 0.000 0.500
Ac 0.000 0.500 0.500
Ac 0.500 0.000 0.500
Ac 0.500 0.500 0.500
Se 0.210 0.420 0.697
Se 0.790 0.580 0.303
Se 0.223 0.013 0.303
Se 0.777 0.987 0.697
Se 0.260 0.519 0.279
Se 0.790 0.013 0.303
Se 0.210 0.987 0.697
Se 0.740 0.481 0.721
Tl 0.000 0.500 0.000
Tl 0.500 0.500 0.000
Tl 0.000 0.000 0.000
CELL_PARAMETERS angstrom
8.855 0.000 0.000
-4.427 7.669 -0.024
0.000 -5.086 7.803
```

## Properties
V: 35.25 Å³/atom
Energy relative to the elements, uncorrected: -1.086 eV/atom
Raw total energy: -68.201 eV/cell
D(E_F): 3.69 states/eV per cell

---

Entry 8:
This record from Alexandria describes a relaxed structure of Ac2Tl3GeSe6. The functional is GGA-PBE. Values from VASP.

```
&SYSTEM
  ibrav = 0, nat = 12, ntyp = 4
/
ATOMIC_SPECIES
Se 78.96 Se.upf
Ac 227.00 Ac.upf
Tl 204.38 Tl.upf
Ge 72.64 Ge.upf
ATOMIC_POSITIONS crystal
Se 0.352 0.916 0.704
Se 0.326 0.431 0.652
Se 0.002 0.792 0.004
Se 0.648 0.084 0.296
Se 0.674 0.569 0.348
Se 0.998 0.208 0.996
Ac 0.160 0.325 0.320
Ac 0.840 0.675 0.680
Tl 0.500 0.500 0.000
Tl 0.170 0.840 0.340
Tl 0.830 0.160 0.660
Ge 0.500 0.000 0.000
CELL_PARAMETERS angstrom
4.457 0.000 0.000
0.000 9.083 0.120
-2.228 -2.830 9.431
```

## Properties
V: 31.94 Å³/atom
Energy relative to the elements, uncorrected: -0.985 eV/atom
Raw total energy: -52.664 eV/cell
D(E_F): 6.60 states/eV per cell

---

Entry 9:
This record from Alexandria describes a relaxed structure of Ac6Tl3GeSe2. The functional is GGA-PBE. Values from VASP.

```
&SYSTEM
  ibrav = 0, nat = 12, ntyp = 4
/
ATOMIC_SPECIES
Tl 204.38 Tl.upf
Ac 227.00 Ac.upf
Ge 72.64 Ge.upf
Se 78.96 Se.upf
ATOMIC_POSITIONS crystal
Tl 0.169 0.834 0.338
Tl 0.831 0.166 0.662
Tl 0.500 0.500 0.000
Ac 0.995 0.769 0.991
Ac 0.659 0.095 0.317
Ac 0.341 0.905 0.683
Ac 0.005 0.231 0.009
Ac 0.328 0.428 0.656
Ac 0.672 0.572 0.344
Ge 0.500 0.000 0.000
Se 0.168 0.337 0.336
Se 0.832 0.663 0.664
CELL_PARAMETERS angstrom
4.459 0.000 0.000
0.000 9.872 -0.318
-2.230 -3.538 10.002
```

## Properties
V: 36.27 Å³/atom
Energy relative to the elements, uncorrected: -0.878 eV/atom
Raw total energy: -53.878 eV/cell
D(E_F): 6.75 states/eV per cell

---

Entry 10:
This record from Alexandria describes a relaxed structure of Ac7SiGe4. The functional is GGA-PBE. Values from VASP.

```
&SYSTEM
  ibrav = 0, nat = 12, ntyp = 3
/
ATOMIC_SPECIES
Ge 72.64 Ge.upf
Ac 227.00 Ac.upf
Si 28.09 Si.upf
ATOMIC_POSITIONS crystal
Ge 0.571 0.239 0.619
Ge 0.743 0.696 0.817
Ge 0.257 0.304 0.183
Ge 0.429 0.761 0.381
Ac 0.500 0.000 0.000
Ac 0.817 0.959 0.407
Ac 0.949 0.347 0.755
Ac 0.675 0.429 0.220
Ac 0.325 0.571 0.780
Ac 0.051 0.653 0.245
Ac 0.183 0.041 0.593
Si 0.000 0.000 0.000
CELL_PARAMETERS angstrom
-3.056 -5.198 -0.271
2.328 -4.464 -7.831
5.141 -6.601 1.431
```

## Properties
V: 33.50 Å³/atom
Energy relative to the elements, uncorrected: -0.404 eV/atom
Raw total energy: -57.502 eV/cell
D(E_F): 6.44 states/eV per cell

---

Copy entry 4 word for word.
This record from Alexandria describes a relaxed structure of Ac6Ge2TeSe3. The functional is GGA-PBE. Values from VASP.

```
&SYSTEM
  ibrav = 0, nat = 12, ntyp = 4
/
ATOMIC_SPECIES
Ac 227.00 Ac.upf
Se 78.96 Se.upf
Ge 72.64 Ge.upf
Te 127.60 Te.upf
ATOMIC_POSITIONS crystal
Ac 0.005 0.266 0.010
Ac 0.995 0.734 0.990
Ac 0.670 0.577 0.339
Ac 0.328 0.902 0.656
Ac 0.672 0.098 0.344
Ac 0.330 0.423 0.661
Se 0.163 0.835 0.327
Se 0.837 0.165 0.673
Se 0.500 0.500 0.000
Ge 0.166 0.331 0.332
Ge 0.834 0.669 0.668
Te 0.500 0.000 0.000
CELL_PARAMETERS angstrom
-3.352 -1.555 2.721
2.031 -8.605 -2.414
7.480 2.177 6.589
```

## Properties
V: 34.04 Å³/atom
Energy relative to the elements, uncorrected: -1.498 eV/atom
Raw total energy: -65.461 eV/cell
D(E_F): 4.08 states/eV per cell